{"formula": "CaAl2Tc", "functional": "PBEsol", "state": "optimized geometry", "lattice_angstrom": [[3.856, 0.000, 0.000], [0.000, 4.231, 0.000], [0.000, 0.000, 4.294]], "species": ["Ca", "Al", "Al", "Tc"], "fractional_positions": [[0.000, 0.000, 0.000], [0.000, 0.500, 0.500], [0.500, 0.000, 0.500], [0.500, 0.500, 0.000]], "vol_a3_per_fu": 70.05, "space_group": "Pmmm (47)", "e_form_ev_per_atom": 0.2229, "polymorph_energy_mev_per_atom": 454}

{"formula": "CaAlTc2", "functional": "PBEsol", "state": "optimized geometry", "lattice_angstrom": [[1.430, 0.826, 9.156], [-1.430, 0.826, 9.156], [0.000, -1.652, 9.156]], "species": ["Ca", "Al", "Tc", "Tc"], "fractional_positions": [[0.000, 0.000, 0.000], [0.500, 0.500, 0.500], [0.241, 0.241, 0.241], [0.759, 0.759, 0.759]], "vol_a3_per_fu": 64.90, "space_group": "R-3m (166)", "e_form_ev_per_atom": 0.4326}

{"formula": "Ca2AlTcTe", "functional": "PBEsol", "state": "optimized geometry", "lattice_angstrom": [[5.637, 0.000, 0.000], [0.000, 5.637, 0.000], [0.000, 0.000, 5.223]], "species": ["Ca", "Ca", "Al", "Tc", "Te"], "fractional_positions": [[0.000, 0.500, 0.000], [0.500, 0.000, 0.000], [0.000, 0.000, 0.500], [0.500, 0.500, 0.500], [0.000, 0.000, 0.000]], "final_energy_ev_per_atom": -3.668, "vol_a3_per_fu": 165.97, "space_group": "P4/mmm (123)"}

{"formula": "Ca2AlTl", "functional": "PBEsol", "state": "optimized geometry", "lattice_angstrom": [[5.303, 0.000, 0.000], [0.000, 5.303, 0.000], [0.000, 0.000, 3.733]], "species": ["Ca", "Ca", "Al", "Tl"], "fractional_positions": [[0.000, 0.500, 0.000], [0.500, 0.000, 0.000], [0.000, 0.000, 0.500], [0.500, 0.500, 0.500]], "vol_a3_per_fu": 104.97, "space_group": "P4/mmm (123)", "e_form_ev_per_atom": -0.3351, "polymorph_energy_mev_per_atom": 0}

{"formula": "Ca3AlTl", "functional": "PBEsol", "state": "optimized geometry", "lattice_angstrom": [[5.768, 0.000, 0.000], [0.000, 5.768, 0.000], [0.000, 0.000, 5.768]], "species": ["Ca", "Ca", "Ca", "Al", "Tl"], "fractional_positions": [[0.000, 0.000, 0.500], [0.000, 0.500, 0.000], [0.500, 0.000, 0.000], [0.000, 0.000, 0.000], [0.500, 0.500, 0.500]], "vol_a3_per_fu": 191.91, "space_group": "Pm-3m (221)", "e_form_ev_per_atom": 0.1477}

{"formula": "Ca2AlTl", "functional": "PBEsol", "state": "optimized geometry", "lattice_angstrom": [[-4.179, 4.179, 3.391], [4.179, -4.179, 3.391], [4.179, 4.179, -3.391]], "species": ["Ca", "Ca", "Ca", "Ca", "Al", "Al", "Tl", "Tl"], "fractional_positions": [[0.121, 0.625, 0.996], [0.375, 0.371, 0.496], [0.629, 0.125, 0.004], [0.875, 0.879, 0.504], [0.000, 0.000, 0.000], [0.750, 0.250, 0.500], [0.250, 0.750, 0.500], [0.500, 0.500, 0.000]], "vol_a3_per_fu": 118.44, "space_group": "I-42d (122)", "e_form_ev_per_atom": 0.0465, "polymorph_energy_mev_per_atom": 382}

{"formula": "Ca2AlTl", "functional": "PBEsol", "state": "optimized geometry", "lattice_angstrom": [[1.810, 1.045, 9.946], [-1.810, 1.045, 9.946], [0.000, -2.090, 9.946]], "species": ["Ca", "Ca", "Al", "Tl"], "fractional_positions": [[0.247, 0.247, 0.247], [0.753, 0.753, 0.753], [0.500, 0.500, 0.500], [0.000, 0.000, 0.000]], "vol_a3_per_fu": 112.90, "space_group": "R-3m (166)", "e_form_ev_per_atom": -0.1197, "polymorph_energy_mev_per_atom": 215}

{"formula": "CaAlTl2", "functional": "PBEsol", "state": "optimized geometry", "lattice_angstrom": [[5.378, -2.233, 0.000], [5.378, 2.233, 0.000], [-1.901, 0.000, 4.132]], "species": ["Ca", "Al", "Tl", "Tl"], "fractional_positions": [[0.000, 0.000, 0.000], [0.750, 0.750, 0.250], [0.245, 0.245, 0.745], [0.489, 0.489, 0.489]], "vol_a3_per_fu": 99.23, "space_group": "Cm (8)", "e_form_ev_per_atom": -0.1394}

{"formula": "Ca2AlTl", "functional": "PBEsol", "state": "optimized geometry", "lattice_angstrom": [[3.634, 0.000, 0.000], [0.000, 3.634, 0.000], [0.000, 0.000, 8.664]], "species": ["Ca", "Ca", "Al", "Tl"], "fractional_positions": [[0.000, 0.000, 0.000], [0.500, 0.500, 0.354], [0.500, 0.500, 0.769], [0.000, 0.000, 0.595]], "vol_a3_per_fu": 114.42, "space_group": "P4mm (99)", "e_form_ev_per_atom": -0.1282, "polymorph_energy_mev_per_atom": 207}

{"formula": "Ca2AlTl", "functional": "PBEsol", "state": "optimized geometry", "lattice_angstrom": [[0.000, 3.743, 3.743], [3.743, 0.000, 3.743], [3.743, 3.743, 0.000]], "species": ["Ca", "Ca", "Al", "Tl"], "fractional_positions": [[0.250, 0.250, 0.250], [0.750, 0.750, 0.750], [0.000, 0.000, 0.000], [0.500, 0.500, 0.500]], "vol_a3_per_fu": 104.90, "space_group": "Fm-3m (225)", "e_form_ev_per_atom": -0.3337, "polymorph_energy_mev_per_atom": 1}

{"formula": "CaAl2W", "functional": "PBEsol", "state": "optimized geometry", "lattice_angstrom": [[4.553, -1.395, 0.000], [4.553, 1.395, 0.000], [-0.545, 0.000, 5.930]], "species": ["Ca", "Al", "Al", "W"], "fractional_positions": [[0.000, 0.000, 0.000], [0.240, 0.240, 0.694], [0.760, 0.760, 0.306], [0.500, 0.500, 0.500]], "vol_a3_per_fu": 75.34, "space_group": "C2/m (12)", "e_form_ev_per_atom": 0.1929, "polymorph_energy_mev_per_atom": 0}

{"formula": "CaAl2W", "functional": "PBEsol", "state": "optimized geometry", "lattice_angstrom": [[2.985, -4.191, 0.000], [2.985, 4.191, 0.000], [0.000, 0.000, 2.810]], "species": ["Ca", "Al", "Al", "W"], "fractional_positions": [[0.000, 0.000, 0.000], [0.000, 0.500, 0.500], [0.500, 0.000, 0.500], [0.500, 0.500, 0.000]], "vol_a3_per_fu": 70.30, "space_group": "Cmmm (65)", "e_form_ev_per_atom": 0.2768, "polymorph_energy_mev_per_atom": 84}

{"formula": "CaAlW", "functional": "PBEsol", "state": "optimized geometry", "lattice_angstrom": [[0.000, 3.244, 3.244], [3.244, 0.000, 3.244], [3.244, 3.244, 0.000]], "species": ["Ca", "Al", "W"], "fractional_positions": [[0.000, 0.000, 0.000], [0.250, 0.250, 0.250], [0.500, 0.500, 0.500]], "vol_a3_per_fu": 68.31, "space_group": "F-43m (216)", "e_form_ev_per_atom": 1.1573}

{"formula": "CaAl2W", "functional": "PBEsol", "state": "optimized geometry", "lattice_angstrom": [[2.857, 0.000, 0.000], [0.000, 3.671, 0.000], [0.000, 0.000, 7.316]], "species": ["Ca", "Al", "Al", "W"], "fractional_positions": [[0.000, 0.000, 0.000], [0.000, 0.000, 0.482], [0.500, 0.500, 0.685], [0.500, 0.500, 0.308]], "vol_a3_per_fu": 76.73, "space_group": "Pmm2 (25)", "e_form_ev_per_atom": 0.3014, "polymorph_energy_mev_per_atom": 109}

{"formula": "CaYAl4", "functional": "PBEsol", "state": "optimized geometry", "lattice_angstrom": [[0.000, 3.932, 3.932], [3.932, 0.000, 3.932], [3.932, 3.932, 0.000]], "species": ["Ca", "Y", "Al", "Al", "Al", "Al"], "fractional_positions": [[0.000, 0.000, 0.000], [0.250, 0.250, 0.250], [0.126, 0.625, 0.625], [0.625, 0.126, 0.625], [0.625, 0.625, 0.126], [0.625, 0.625, 0.625]], "vol_a3_per_fu": 121.63, "space_group": "F-43m (216)", "e_form_ev_per_atom": -0.4253}